Record 1
First-principles (PBE) data for a relaxed structure of AlTl2Au3, as listed in the Alexandria database.

a = 13.6941 Å, b = 6.7792 Å, c = 5.9228 Å
α = 90.00°, β = 90.00°, γ = 90.00°
Last column: nearest neighbours and their distance in Å.
Space group Cmc2_1 (No. 36)
Unique sites:
Al: 0.0000 0.2009 0.0000  6 Au 2.58-2.65
Tl: 0.1838 0.3534 0.6615  5 Au 2.96-3.17
Au: 0.0000 0.4420 0.3519  2 Al 2.58-2.65
Au: 0.1149 0.0549 0.3101  2 Al 2.60-2.61

Output
E_form ... -132 meV/atom
DFT total energy ... -3.183 eV per atom
Crystal system ... orthorhombic
Fermi-level density of states ... 0.33 states/eV per atom



Record 2
First-principles (PBE) data for a relaxed structure of NaMg3I, as listed in the Alexandria database.

a = 5.8049 Å, b = 5.8049 Å, c = 5.8049 Å
α = 90.00°, β = 90.00°, γ = 90.00°
Last column: nearest neighbours and their distance in Å.
Space group Pm-3m (No. 221)
Unique sites:
Na: 0.0000 0.0000 0.0000  6 Mg 2.90
Mg: 0.0000 0.0000 0.5000  2 Na 2.90
I: 0.5000 0.5000 0.5000  12 Mg 4.10

Output
DFT total energy ... -1.136 eV per atom
Crystal system ... cubic
Fermi-level density of states ... 0.27 states/eV per atom
Formation energy from raw total energies ... 0.395 eV/atom



Record 3
First-principles (PBE) data for a relaxed structure of Er3CuSe2, as listed in the Alexandria database.

a = 6.8803 Å, b = 11.9760 Å, c = 7.1589 Å
α = 90.00°, β = 108.86°, γ = 90.00°
Last column: nearest neighbours and their distance in Å.
Space group C2/m (No. 12)
Unique sites:
Er: 0.2387 0.0000 0.2399  2 Cu 2.81, 4 Se 2.85-2.87
Er: 0.2486 0.1703 0.7588  2 Cu 2.79-2.80, 4 Se 2.86-2.92
Cu: 0.0000 0.1682 0.0000  6 Er 2.79-2.81
Se: 0.0000 0.0000 0.5000  6 Er 2.85-2.91
Se: 0.0000 0.3390 0.5000  6 Er 2.87-2.92
Se: 0.0000 0.5000 0.0000  6 Er 2.86

Output
DFT total energy ... -5.329 eV per atom
Crystal system ... monoclinic
Fermi-level density of states ... 0.56 states/eV per atom
Formation energy from raw total energies ... -1.203 eV/atom



Record 4
First-principles (PBE) data for a relaxed structure of HoNiHg2, as listed in the Alexandria database.

a = 3.9200 Å, b = 10.0329 Å, c = 8.2950 Å
α = 90.00°, β = 90.00°, γ = 90.00°
Last column: nearest neighbours and their distance in Å.
Space group Cmcm (No. 63)
Unique sites:
Ho: 0.0000 0.0675 0.2500  3 Ni 2.82-2.99
Ni: 0.0000 0.2309 0.7500  6 Hg 2.72-2.81, 3 Ho 2.82-2.99
Hg: 0.0000 0.3592 0.0508  3 Ni 2.72-2.81, 1 Hg 2.95

Output
E_form ... -312 meV/atom
DFT total energy ... -3.053 eV per atom
Crystal system ... orthorhombic
Fermi-level density of states ... 0.47 states/eV per atom



Record 5
First-principles (PBE) data for a relaxed structure of Tm3PuIr4, as listed in the Alexandria database.

a = 9.7959 Å, b = 6.5347 Å, c = 4.8952 Å
α = 90.00°, β = 90.00°, γ = 90.00°
Last column: nearest neighbours and their distance in Å.
Space group Pmma (No. 51)
Unique sites:
Tm: 0.0000 0.0000 0.0000  8 Ir 2.95, 2 Pu 3.27
Tm: 0.2500 0.0000 0.4992  8 Ir 2.94-2.95, 2 Tm 3.27
Tm: 0.2500 0.5000 0.4992  8 Ir 2.94, 2 Tm 3.27
Pu: 0.0000 0.5000 0.0000  8 Ir 2.94, 2 Tm 3.27
Ir: 0.0000 0.2507 0.5000  2 Pu 2.94, 6 Tm 2.94-2.95, 2 Ir 3.26-3.28
Ir: 0.2500 0.2503 0.9989  6 Tm 2.94-2.95, 2 Pu 2.94, 2 Ir 3.26-3.27

Output
E_form ... -755 meV/atom
DFT total energy ... -8.653 eV per atom
Crystal system ... orthorhombic
Fermi-level density of states ... 1.51 states/eV per atom